Record 1
# YTi2TlO

A geometry-optimized YTi2TlO structure (PBE, the Alexandria database).

Its formation energy (no corrections) is -1.03 eV/atom. The density of states at the Fermi level comes out at 0.97 states/eV/atom.

The space group is P4/mmm (No. 123) and the conventional cell measures 4.288, 4.288 and 4.776 Å, with angles of 90.00, 90.00 and 90.00 degrees. Symmetry generates all atoms from Y at (0.000, 0.000, 0.000), Ti at (0.000, 0.500, 0.500), Tl at (0.500, 0.500, 0.000) and O at (0.000, 0.000, 0.500).

=====

Record 2
# TmTi2O

A geometry-optimized TmTi2O structure (PBE, the Alexandria database).

Its formation energy (no corrections) is -0.94 eV/atom. The density of states at the Fermi level comes out at 0.90 states/eV/atom.

The space group is R-3m (No. 166, hexagonal axes) and the conventional cell measures 3.1773, 3.1773 and 23.8034 Å, with angles of 90.00, 90.00 and 120.00 degrees. Symmetry generates all atoms from Tm at (0.0000, 0.0000, 0.0000), Ti at (0.0000, 0.0000, 0.1243) and O at (0.0000, 0.0000, 0.5000).

=====

Record 3
# TmTi2O5

A geometry-optimized TmTi2O5 structure (PBE, the Alexandria database).

Its formation energy (no corrections) is -3.15 eV/atom. The density of states at the Fermi level comes out at 0.32 states/eV/atom.

The space group is Pmmn (No. 59, origin choice 2) and the conventional cell measures 3.485, 11.914 and 4.927 Å, with angles of 90.00, 90.00 and 90.00 degrees. Symmetry generates all atoms from Tm at (0.250, 0.250, 0.130), Ti at (0.250, 0.595, 0.417), O at (0.250, 0.080, 0.408), O at (0.250, 0.639, 0.070) and O at (0.250, 0.750, 0.574).

=====

Record 4
# Tm3Ti5O12

A geometry-optimized Tm3Ti5O12 structure (PBE, the Alexandria database).

Its formation energy (no corrections) is -3.06 eV/atom. The density of states at the Fermi level comes out at 0.55 states/eV/atom.

The space group is Ia-3d (No. 230) and the conventional cell measures 12.496, 12.496 and 12.496 Å, with angles of 90.00, 90.00 and 90.00 degrees. Symmetry generates all atoms from Tm at (0.000, 0.250, 0.125), Ti at (0.000, 0.000, 0.000), Ti at (0.000, 0.250, 0.375) and O at (0.026, 0.060, 0.654).

=====

Record 5
# Tm2TiO

A geometry-optimized Tm2TiO structure (PBE, the Alexandria database).

Its formation energy (no corrections) is -1.01 eV/atom. The density of states at the Fermi level comes out at 0.78 states/eV/atom.

The space group is R-3m (No. 166, hexagonal axes) and the conventional cell measures 3.2706, 3.2706 and 25.6844 Å, with angles of 90.00, 90.00 and 120.00 degrees. Symmetry generates all atoms from Tm at (0.0000, 0.0000, 0.1126), Ti at (0.0000, 0.0000, 0.0000) and O at (0.0000, 0.0000, 0.5000).

=====

Record 6
# UTiO2

A geometry-optimized UTiO2 structure (PBE, the Alexandria database).

Its formation energy (no corrections) is -2.17 eV/atom. The density of states at the Fermi level comes out at 1.34 states/eV/atom.

The space group is R-3m (No. 166, hexagonal axes) and the conventional cell measures 3.1081, 3.1081 and 19.7746 Å, with angles of 90.00, 90.00 and 120.00 degrees. Symmetry generates all atoms from U at (0.0000, 0.0000, 0.0000), Ti at (0.0000, 0.0000, 0.5000) and O at (0.0000, 0.0000, 0.1160).